(1)
The following is a DFT calculation (PBE-GGA) of a relaxed structure of Dy2PuHg3.

The calculation puts the formation energy at -2.13 eV/f.u.

The space group is P4/mmm (No. 123) and the conventional cell measures 3.708, 3.708 and 11.350 Å, with angles of 90.00, 90.00 and 90.00 degrees. Symmetry generates all atoms from Dy at (0.000, 0.000, 0.164), Pu at (0.000, 0.000, 0.500), Hg at (0.500, 0.500, 0.000) and Hg at (0.500, 0.500, 0.322).

---

(2)
The following is a DFT calculation (PBE-GGA) of a relaxed structure of DyPuHg.

The value obtained for the energy above the lowest structure with this stoichiometry is 0 meV/atom. The calculation puts the formation energy at -0.35 eV/f.u.

The space group is I4mm (No. 107) and the conventional cell measures 3.530, 3.530 and 13.233 Å, with angles of 90.00, 90.00 and 90.00 degrees. Symmetry generates all atoms from Dy at (0.000, 0.000, 0.000), Pu at (0.000, 0.000, 0.688) and Hg at (0.000, 0.000, 0.352).

---

(3)
The following is a DFT calculation (PBE-GGA) of a relaxed structure of Dy3PuHg12.

The calculation puts the formation energy at -4.03 eV/f.u.

The space group is P4/mmm (No. 123) and the conventional cell measures 4.565, 4.565 and 19.016 Å, with angles of 90.00, 90.00 and 90.00 degrees. Symmetry generates all atoms from Dy at (0.000, 0.000, 0.000), Dy at (0.000, 0.000, 0.248), Pu at (0.000, 0.000, 0.500), Hg at (0.000, 0.500, 0.124), Hg at (0.000, 0.500, 0.372), Hg at (0.500, 0.500, 0.000), Hg at (0.500, 0.500, 0.247) and Hg at (0.500, 0.500, 0.500).

---

(4)
The following is a DFT calculation (PBE-GGA) of a relaxed structure of Dy2PuHg9.

The calculation puts the formation energy at -2.83 eV/f.u.

The space group is Pmmm (No. 47) and the conventional cell measures 4.563, 4.742 and 13.811 Å, with angles of 90.00, 90.00 and 90.00 degrees. Symmetry generates all atoms from Dy at (0.000, 0.000, 0.164), Pu at (0.000, 0.000, 0.500), Hg at (0.000, 0.500, 0.000), Hg at (0.000, 0.500, 0.329), Hg at (0.500, 0.000, 0.000), Hg at (0.500, 0.000, 0.328), Hg at (0.500, 0.500, 0.161) and Hg at (0.500, 0.500, 0.500).

---

(5)
The following is a DFT calculation (PBE-GGA) of a relaxed structure of Dy5PuHg6.

The calculation puts the formation energy at -4.96 eV/f.u.

The space group is Immm (No. 71) and the conventional cell measures 5.241, 7.531 and 15.712 Å, with angles of 90.00, 90.00 and 90.00 degrees. Symmetry generates all atoms from Dy at (0.000, 0.000, 0.000), Dy at (0.000, 0.000, 0.342), Dy at (0.000, 0.500, 0.329), Pu at (0.000, 0.500, 0.000), Hg at (0.000, 0.241, 0.170) and Hg at (0.000, 0.267, 0.500).

---

(6)
The following is a DFT calculation (PBE-GGA) of a relaxed structure of Dy6PuHg5.

The calculation puts the formation energy at -4.10 eV/f.u.

The space group is C2/m (No. 12) and the conventional cell measures 16.475, 7.693 and 5.214 Å, with angles of 90.00, 108.36 and 90.00 degrees. Symmetry generates all atoms from Dy at (0.000, 0.233, 0.000), Dy at (0.168, 0.248, 0.668), Pu at (0.000, 0.500, 0.500), Hg at (0.000, 0.000, 0.500), Hg at (0.155, 0.500, 0.155) and Hg at (0.171, 0.000, 0.171).

---

(7)
The following is a DFT calculation (PBE-GGA) of a relaxed structure of Dy3PuHg6.

The calculation puts the formation energy at -3.39 eV/f.u.

The space group is P2_1/m (No. 11) and the conventional cell measures 9.157, 5.185 and 11.212 Å, with angles of 90.00, 107.95 and 90.00 degrees. Symmetry generates all atoms from Dy at (0.025, 0.250, 0.382), Dy at (0.146, 0.750, 0.204), Dy at (0.273, 0.250, 0.985), Pu at (0.447, 0.250, 0.593), Hg at (0.032, 0.750, 0.915), Hg at (0.154, 0.250, 0.692), Hg at (0.238, 0.750, 0.496), Hg at (0.336, 0.250, 0.289), Hg at (0.353, 0.750, 0.807) and Hg at (0.435, 0.750, 0.108).

---

(8)
The following is a DFT calculation (PBE-GGA) of a relaxed structure of Dy2PuHg8.

The calculation puts the formation energy at -2.39 eV/f.u.

The space group is Immm (No. 71) and the conventional cell measures 5.131, 7.401 and 14.631 Å, with angles of 90.00, 90.00 and 90.00 degrees. Symmetry generates all atoms from Dy at (0.000, 0.000, 0.195), Pu at (0.000, 0.000, 0.500), Hg at (0.000, 0.205, 0.000), Hg at (0.000, 0.290, 0.351) and Hg at (0.000, 0.500, 0.156).

---

(9)
The following is a DFT calculation (PBE-GGA) of a relaxed structure of DyPu2Hg.

The value obtained for the energy above the lowest structure with this stoichiometry is 106 meV/atom. The calculation puts the formation energy at 0.25 eV/f.u.

The space group is P4/mmm (No. 123) and the conventional cell measures 4.133, 4.133 and 6.441 Å, with angles of 90.00, 90.00 and 90.00 degrees. Symmetry generates all atoms from Dy at (0.000, 0.000, 0.000), Pu at (0.500, 0.500, 0.267) and Hg at (0.000, 0.000, 0.500).

---

(10)
The following is a DFT calculation (PBE-GGA) of a relaxed structure of DyPu2Hg.

The value obtained for the energy above the lowest structure with this stoichiometry is 0 meV/atom. The calculation puts the formation energy at -0.17 eV/f.u.

The space group is P4/mmm (No. 123) and the conventional cell measures 4.441, 4.441 and 5.286 Å, with angles of 90.00, 90.00 and 90.00 degrees. Symmetry generates all atoms from Dy at (0.000, 0.000, 0.000), Pu at (0.000, 0.500, 0.500) and Hg at (0.500, 0.500, 0.000).

---

(11)
The following is a DFT calculation (PBE-GGA) of a relaxed structure of DyPuHg5.

The calculation puts the formation energy at -0.89 eV/f.u.

The space group is Pmmm (No. 47) and the conventional cell measures 4.379, 4.742 and 9.108 Å, with angles of 90.00, 90.00 and 90.00 degrees. Symmetry generates all atoms from Dy at (0.000, 0.000, 0.000), Pu at (0.500, 0.500, 0.500), Hg at (0.000, 0.500, 0.248), Hg at (0.500, 0.000, 0.263) and Hg at (0.500, 0.500, 0.000).

---

(12)
The following is a DFT calculation (PBE-GGA) of a relaxed structure of DyPu2Hg6.

The calculation puts the formation energy at -2.07 eV/f.u.

The space group is R-3m (No. 166, hexagonal axes) and the conventional cell measures 8.7621, 8.7621 and 9.9240 Å, with angles of 90.00, 90.00 and 120.00 degrees. Symmetry generates all atoms from Dy at (0.0000, 0.0000, 0.0000), Pu at (0.0000, 0.0000, 0.3397) and Hg at (0.0000, 0.3348, 0.5000).

---

| no. | volume (Å³/cell) |
| --- | --- |
| 1 | 156.0 |
| 2 | 164.9 |
| 3 | 396.2 |
| 4 | 298.8 |
| 5 | 620.2 |
| 6 | 627.2 |
| 7 | 506.4 |
| 8 | 555.6 |
| 9 | 110.0 |
| 10 | 104.3 |
| 11 | 189.1 |
| 12 | 659.8 |